A relaxed structure of Bi3TeAu, computed with GGA-PBE.

Summary:
final energy = -3.136 eV per atom
energy above the lowest structure with this stoichiometry = 490 meV per atom
calculated volume = 172 Å³/cell
formation energy from raw total energies = 477 meV/atom

a = 5.5659 Å, b = 5.5659 Å, c = 5.5659 Å
α = 90.00°, β = 90.00°, γ = 90.00°
Last column: nearest neighbours and their distance in Å.
Positions (direct):
Bi: 0.0000 0.0000 0.5000  2 Au 2.78
Bi: 0.0000 0.5000 0.0000  2 Au 2.78
Bi: 0.5000 0.0000 0.0000  2 Au 2.78
Te: 0.5000 0.5000 0.5000  12 Bi 3.94
Au: 0.0000 0.0000 0.0000  6 Bi 2.78